(1)
# ZrZnInAg | Alexandria via LeMat-Bulk | GGA-PBE | relaxed
# - space-group type = Pmmm, No. 47
# - DOS at the Fermi energy (states/eV/f.u.) = 2.26
# - volume (Å³/cell) = 78.2
# - ΔE_f (eV/atom) = -0.17
data_ZrZnInAg
_cell_length_a 4.0708
_cell_length_b 4.4085
_cell_length_c 4.3568
_cell_angle_alpha 90.00
_cell_angle_beta 90.00
_cell_angle_gamma 90.00
_space_group_name_H-M_alt 'P 1'
_space_group_IT_number 1
_space_group_name_Hall 'P 1'
loop_
_atom_site_label
_atom_site_type_symbol
_atom_site_fract_x
_atom_site_fract_y
_atom_site_fract_z
_atom_site_occupancy
Zr1 Zr 0.0000 0.5000 0.5000 1
Zn1 Zn 0.5000 0.5000 0.0000 1
In1 In 0.5000 0.0000 0.5000 1
Ag1 Ag 0.0000 0.0000 0.0000 1

***

(2)
# HoMgP2 | Alexandria via LeMat-Bulk | GGA-PBE | relaxed
# - space-group type = R3m, No. 160
# - DOS at the Fermi energy (states/eV/f.u.) = 1.46
# - volume (Å³/cell) = 83.2
# - ΔE_f (eV/atom) = -0.87
data_HoMgP2
_cell_length_a 4.0028
_cell_length_b 4.0028
_cell_length_c 6.4243
_cell_angle_alpha 71.85
_cell_angle_beta 71.85
_cell_angle_gamma 60.00
_space_group_name_H-M_alt 'P 1'
_space_group_IT_number 1
_space_group_name_Hall 'P 1'
loop_
_atom_site_label
_atom_site_type_symbol
_atom_site_fract_x
_atom_site_fract_y
_atom_site_fract_z
_atom_site_occupancy
Ho1 Ho 0.6693 0.6693 0.9920 1
Mg1 Mg 0.4946 0.4946 0.5162 1
P1 P 0.0910 0.0910 0.7269 1
P2 P 0.2450 0.2450 0.2649 1